Computed, not measured: an optimized crystal structure of CrSbAsI2 at the PBE level of DFT.

The space group is P4/mmm (No. 123) and the conventional cell measures 5.615, 5.615 and 5.590 Å, with angles of 90.00, 90.00 and 90.00 degrees. Symmetry generates all atoms from Cr at (0.000, 0.000, 0.000), Sb at (0.500, 0.500, 0.000), As at (0.500, 0.500, 0.500) and I at (0.000, 0.500, 0.500).

The calculation puts the density of states at the Fermi level at 0.78 states/eV per atom. Its energy above the most stable polymorph in this dataset is 0.1098 eV per atom. The value obtained for the total magnetic moment is 0.802 μB/atom.

Computed, not measured: an optimized crystal structure of CrSb2AsI at the PBE level of DFT.

The space group is P4/mmm (No. 123) and the conventional cell measures 5.376, 5.376 and 5.417 Å, with angles of 90.00, 90.00 and 90.00 degrees. Symmetry generates all atoms from Cr at (0.000, 0.000, 0.000), Sb at (0.000, 0.500, 0.500), As at (0.500, 0.500, 0.500) and I at (0.500, 0.500, 0.000).

The calculation puts the density of states at the Fermi level at 1.17 states/eV per atom. Its energy above the most stable polymorph in this dataset is 0.6891 eV per atom. The value obtained for the total magnetic moment is 0.041 μB/atom.

Computed, not measured: an optimized crystal structure of CrSb2AsI at the PBE level of DFT.

The space group is P4/mmm (No. 123) and the conventional cell measures 5.060, 5.060 and 5.071 Å, with angles of 90.00, 90.00 and 90.00 degrees. Symmetry generates all atoms from Cr at (0.000, 0.000, 0.000), Sb at (0.000, 0.500, 0.000), As at (0.500, 0.500, 0.500) and I at (0.000, 0.000, 0.500).

The calculation puts the density of states at the Fermi level at 1.44 states/eV per atom. Its energy above the most stable polymorph in this dataset is 0.0000 eV per atom. The value obtained for the total magnetic moment is 0.000 μB/atom.

| no. | formation energy (no corrections) (eV/f.u.) | theoretical density (Mg/m³) | VASP energy (Ha/atom) |
| --- | --- | --- | --- |
| 1 | 3.80 | 4.7 | -0.13010 |
| 2 | 7.07 | 5.3 | -0.12492 |
| 3 | 3.63 | 6.4 | -0.15024 |